(1)
Density functional theory data (GGA-PBEsol) for a relaxed structure of SrTcSe2.

Unit cell a=3.525 b=3.525 c=7.597 alpha=90.00 beta=90.00 gamma=90.00
Sites, in units of the cell vectors:
Sr: 0.000 0.000 0.000
Tc: 0.500 0.500 0.488
Se: 0.000 0.000 0.390
Se: 0.500 0.500 0.806

Properties
offset from the most stable computed form: 166.5 meV/atom

(2)
Density functional theory data (GGA-PBEsol) for a relaxed structure of Sr4TeSe.

Unit cell a=6.724 b=6.724 c=6.724 alpha=60.00 beta=60.00 gamma=60.00
Sites, in units of the cell vectors:
Sr: 0.125 0.125 0.125
Sr: 0.125 0.125 0.625
Sr: 0.125 0.625 0.125
Sr: 0.625 0.125 0.125
Te: 0.750 0.750 0.750
Se: 0.500 0.500 0.500

(3)
Density functional theory data (GGA-PBEsol) for a relaxed structure of Sr2TeSe.

Unit cell a=4.542 b=4.542 c=6.424 alpha=90.00 beta=90.00 gamma=90.00
Sites, in units of the cell vectors:
Sr: 0.000 0.000 0.000
Sr: 0.500 0.500 0.500
Te: 0.000 0.000 0.500
Se: 0.500 0.500 0.000

Properties
offset from the most stable computed form: 25.4 meV/atom

(4)
Density functional theory data (GGA-PBEsol) for a relaxed structure of Sr2TeSe.

Unit cell a=7.866 b=7.866 c=7.866 alpha=33.41 beta=33.41 gamma=33.41
Sites, in units of the cell vectors:
Sr: 0.245 0.245 0.245
Sr: 0.755 0.755 0.755
Te: 0.000 0.000 0.000
Se: 0.500 0.500 0.500

Properties
offset from the most stable computed form: 0.0 meV/atom

(5)
Density functional theory data (GGA-PBEsol) for a relaxed structure of Sr2TeSe.

Unit cell a=3.891 b=3.891 c=7.790 alpha=90.00 beta=90.00 gamma=90.14
Sites, in units of the cell vectors:
Sr: 0.000 0.000 0.239
Sr: 0.000 0.000 0.761
Te: 0.500 0.500 0.500
Se: 0.500 0.500 0.000

Properties
offset from the most stable computed form: 235.6 meV/atom

(6)
Density functional theory data (GGA-PBEsol) for a relaxed structure of SrTh2Se5.

Unit cell a=8.698 b=7.845 c=12.375 alpha=90.00 beta=90.10 gamma=90.00
Sites, in units of the cell vectors:
Sr: 0.006 0.038 0.174
Sr: 0.006 0.462 0.674
Sr: 0.994 0.538 0.326
Sr: 0.994 0.962 0.826
Th: 0.248 0.578 0.010
Th: 0.248 0.922 0.510
Th: 0.499 0.521 0.320
Th: 0.499 0.979 0.820
Th: 0.501 0.021 0.180
Th: 0.501 0.479 0.680
Th: 0.752 0.078 0.490
Th: 0.752 0.422 0.990
Se: 0.045 0.175 0.412
Se: 0.045 0.325 0.912
Se: 0.263 0.698 0.780
Se: 0.263 0.802 0.280
Se: 0.275 0.172 0.686
Se: 0.275 0.328 0.186
Se: 0.276 0.539 0.501
Se: 0.276 0.961 0.001
Se: 0.454 0.163 0.401
Se: 0.454 0.337 0.901
Se: 0.546 0.663 0.099
Se: 0.546 0.837 0.599
Se: 0.724 0.039 0.999
Se: 0.724 0.461 0.499
Se: 0.725 0.672 0.814
Se: 0.725 0.828 0.314
Se: 0.737 0.198 0.720
Se: 0.737 0.302 0.220
Se: 0.955 0.675 0.088
Se: 0.955 0.825 0.588

(7)
Density functional theory data (GGA-PBEsol) for a relaxed structure of SrTi3Se.

Unit cell a=4.827 b=4.827 c=4.827 alpha=90.00 beta=90.00 gamma=90.00
Sites, in units of the cell vectors:
Sr: 0.000 0.000 0.000
Ti: 0.000 0.500 0.500
Ti: 0.500 0.000 0.500
Ti: 0.500 0.500 0.000
Se: 0.500 0.500 0.500

(8)
Density functional theory data (GGA-PBEsol) for a relaxed structure of SrYTi2Se.

Unit cell a=4.701 b=4.701 c=5.583 alpha=90.00 beta=90.00 gamma=90.00
Sites, in units of the cell vectors:
Sr: 0.000 0.000 0.000
Y: 0.500 0.500 0.500
Ti: 0.000 0.500 0.000
Ti: 0.500 0.000 0.000
Se: 0.000 0.000 0.500

(9)
Density functional theory data (GGA-PBEsol) for a relaxed structure of SrTlSe2.

Unit cell a=8.530 b=8.530 c=8.530 alpha=135.33 beta=135.33 gamma=65.01
Sites, in units of the cell vectors:
Sr: 0.000 0.000 0.000
Sr: 0.750 0.250 0.500
Tl: 0.250 0.750 0.500
Tl: 0.500 0.500 0.000
Se: 0.147 0.625 0.022
Se: 0.375 0.397 0.522
Se: 0.603 0.125 0.978
Se: 0.875 0.853 0.478

(10)
Density functional theory data (GGA-PBEsol) for a relaxed structure of SrTlSe2.

Unit cell a=7.522 b=7.522 c=7.522 alpha=149.40 beta=148.78 gamma=44.28
Sites, in units of the cell vectors:
Sr: 0.000 0.000 0.000
Tl: 0.250 0.750 0.500
Se: 0.419 0.419 0.000
Se: 0.674 0.174 0.500

(11)
Density functional theory data (GGA-PBEsol) for a relaxed structure of SrTl2Se.

Unit cell a=4.248 b=4.215 c=7.160 alpha=90.00 beta=106.88 gamma=90.00
Sites, in units of the cell vectors:
Sr: 0.000 0.000 0.000
Tl: 0.272 0.000 0.548
Tl: 0.690 0.500 0.381
Se: 0.471 0.500 0.940

(12)
Density functional theory data (GGA-PBEsol) for a relaxed structure of SrTl2Se.

Unit cell a=5.897 b=5.897 c=5.897 alpha=132.31 beta=132.31 gamma=69.74
Sites, in units of the cell vectors:
Sr: 0.000 0.000 0.000
Tl: 0.500 0.500 0.000
Tl: 0.750 0.250 0.500
Se: 0.250 0.750 0.500

(13)
Density functional theory data (GGA-PBEsol) for a relaxed structure of Sr2TlSe2.

Unit cell a=6.990 b=6.990 c=6.990 alpha=131.83 beta=131.83 gamma=70.49
Sites, in units of the cell vectors:
Sr: 0.181 0.181 0.000
Sr: 0.819 0.819 0.000
Tl: 0.500 0.500 0.000
Se: 0.250 0.750 0.500
Se: 0.750 0.250 0.500

(14)
Density functional theory data (GGA-PBEsol) for a relaxed structure of SrTlSe2.

Unit cell a=4.296 b=4.296 c=6.117 alpha=90.00 beta=90.00 gamma=90.00
Sites, in units of the cell vectors:
Sr: 0.000 0.000 0.000
Tl: 0.500 0.500 0.500
Se: 0.000 0.000 0.500
Se: 0.500 0.500 0.000

| no. | raw formation energy (eV per atom) |
| --- | --- |
| 1 | -0.345 |
| 2 | -0.170 |
| 3 | -1.863 |
| 4 | -1.888 |
| 5 | -1.653 |
| 6 | -1.855 |
| 7 | 0.097 |
| 8 | 1.054 |
| 9 | -0.896 |
| 10 | -0.991 |
| 11 | -0.753 |
| 12 | -0.624 |
| 13 | -1.054 |
| 14 | -1.135 |